Here is an optimized crystal structure of Y5Bi2Sb2 from Alexandria via LeMat-Bulk. Energies are from PBE.

Lattice parameters (Å, degrees): 8.792 8.792 8.253 90.00 90.00 55.58
Fractional coordinates of all 18 atoms:
Y: 0.000 0.000 0.000
Y: 0.026 0.709 0.659
Y: 0.209 0.526 0.159
Y: 0.291 0.974 0.659
Y: 0.474 0.791 0.159
Y: 0.500 0.500 0.500
Y: 0.526 0.209 0.841
Y: 0.709 0.026 0.341
Y: 0.791 0.474 0.841
Y: 0.974 0.291 0.341
Bi: 0.202 0.202 0.000
Bi: 0.298 0.298 0.500
Bi: 0.702 0.702 0.500
Bi: 0.798 0.798 0.000
Sb: 0.144 0.856 0.357
Sb: 0.356 0.644 0.857
Sb: 0.644 0.356 0.143
Sb: 0.856 0.144 0.643

Computed properties:
Formation energy (no corrections)   -806.7 kJ/mol of formula units

Here is an optimized crystal structure of HfThSc4 from Alexandria via LeMat-Bulk. Energies are from PBE.

Lattice parameters (Å, degrees): 8.686 8.686 8.686 148.70 73.78 115.14
Fractional coordinates of all 12 atoms:
Hf: 0.386 0.136 0.250
Hf: 0.614 0.864 0.750
Th: 0.130 0.380 0.750
Th: 0.870 0.620 0.250
Sc: 0.035 0.120 0.915
Sc: 0.220 0.632 0.588
Sc: 0.295 0.880 0.415
Sc: 0.456 0.368 0.088
Sc: 0.544 0.632 0.912
Sc: 0.705 0.120 0.585
Sc: 0.780 0.368 0.412
Sc: 0.965 0.880 0.085

Computed properties:
Total energy   -7.072 eV per atom